# ScBeBr2 | the Alexandria database | PBE-GGA | optimized geometry
# space group	No. 65
# calculated density	2.902	g/cm3
# energy above the lowest structure with this stoichiometry	46.68	kJ/mol of atoms
# E_form (uncorrected)	-0.1168	eV per atom
# N(E_F)	1.5	states/eV/cell
data_ScBeBr2
_chemical_formula_sum 'Sc1 Be1 Br2'
_cell_length_a 3.707
_cell_length_b 3.707
_cell_length_c 10.482
_cell_angle_alpha 90.00
_cell_angle_beta 90.00
_cell_angle_gamma 121.86
_space_group_name_H-M_alt 'P 1'
_space_group_IT_number 1
_space_group_name_Hall 'P 1'
loop_
_atom_site_label
_atom_site_fract_x
_atom_site_fract_y
_atom_site_fract_z
Sc1 0.000 0.000 0.000
Be1 0.000 0.000 0.500
Br1 0.500 0.500 0.186
Br2 0.500 0.500 0.814

# Sc3BeBr | the Alexandria database | PBE-GGA | optimized geometry
# space group	No. 221
# calculated density	3.182	g/cm3
# energy above the lowest structure with this stoichiometry	0.00	kJ/mol of atoms
# E_form (uncorrected)	0.0839	eV per atom
# N(E_F)	7.3	states/eV/cell
data_Sc3BeBr
_chemical_formula_sum 'Sc3 Be1 Br1'
_cell_length_a 4.888
_cell_length_b 4.888
_cell_length_c 4.888
_cell_angle_alpha 90.00
_cell_angle_beta 90.00
_cell_angle_gamma 90.00
_space_group_name_H-M_alt 'P 1'
_space_group_IT_number 1
_space_group_name_Hall 'P 1'
loop_
_atom_site_label
_atom_site_fract_x
_atom_site_fract_y
_atom_site_fract_z
Sc1 0.000 0.000 0.500
Sc2 0.000 0.500 0.000
Sc3 0.500 0.000 0.000
Be1 0.000 0.000 0.000
Br1 0.500 0.500 0.500

# ScBeBr2 | the Alexandria database | PBE-GGA | optimized geometry
# space group	No. 71
# calculated density	4.061	g/cm3
# energy above the lowest structure with this stoichiometry	42.92	kJ/mol of atoms
# E_form (uncorrected)	-0.1558	eV per atom
# N(E_F)	2.2	states/eV/cell
data_ScBeBr2
_chemical_formula_sum 'Sc1 Be1 Br2'
_cell_length_a 5.463
_cell_length_b 5.463
_cell_length_c 5.463
_cell_angle_alpha 142.76
_cell_angle_beta 114.85
_cell_angle_gamma 77.51
_space_group_name_H-M_alt 'P 1'
_space_group_IT_number 1
_space_group_name_Hall 'P 1'
loop_
_atom_site_label
_atom_site_fract_x
_atom_site_fract_y
_atom_site_fract_z
Sc1 0.000 0.000 0.000
Be1 0.500 0.500 0.000
Br1 0.248 0.748 0.500
Br2 0.752 0.252 0.500

# ScBe2Br | the Alexandria database | PBE-GGA | optimized geometry
# space group	No. 65
# calculated density	3.520	g/cm3
# energy above the lowest structure with this stoichiometry	48.16	kJ/mol of atoms
# E_form (uncorrected)	0.3525	eV per atom
# N(E_F)	2.2	states/eV/cell
data_ScBe2Br
_chemical_formula_sum 'Sc1 Be2 Br1'
_cell_length_a 4.702
_cell_length_b 4.702
_cell_length_c 3.331
_cell_angle_alpha 90.00
_cell_angle_beta 90.00
_cell_angle_gamma 113.76
_space_group_name_H-M_alt 'P 1'
_space_group_IT_number 1
_space_group_name_Hall 'P 1'
loop_
_atom_site_label
_atom_site_fract_x
_atom_site_fract_y
_atom_site_fract_z
Sc1 0.000 0.000 0.000
Be1 0.000 0.500 0.500
Be2 0.500 0.000 0.500
Br1 0.500 0.500 0.000